The following is a DFT calculation (PBE) of a geometry-optimized Sc3TlCu structure.

magnetic moment: 0.0 μB/f.u.
crystal system: hexagonal
energy relative to the elements: -0.11 eV/atom
calculated volume: 22.6 A^3/atom

```
10
Lattice="7.350 0.000 0.000 -3.675 6.365 0.000 0.000 0.000 4.825" Properties=species:S:1:pos:R:3 pbc="T T T"
Sc 0.000 2.383 1.206
Sc -1.611 5.174 1.206
Sc 2.064 1.191 3.618
Sc 1.611 5.174 1.206
Sc 5.286 1.191 3.618
Sc 3.675 3.982 3.618
Tl 0.000 4.244 3.618
Tl 3.675 2.122 1.206
Cu 0.000 0.000 0.000
Cu 0.000 0.000 2.412
```